# Sr4TcPb

An optimized crystal structure of Sr4TcPb (GGA-PBEsol, Alexandria).

Results
space-group type: F-43m
V: 205 Å³/cell
calculated formation energy: 0.997 eV per atom

Cell: 6.6181 6.6181 6.6181 Å, 60.00 60.00 60.00°
Sites, in units of the cell vectors:
Sr (0.3755, 0.3755, 0.3755)
Sr (0.3755, 0.3755, 0.8735)
Sr (0.8735, 0.3755, 0.3755)
Sr (0.3755, 0.8735, 0.3755)
Tc (0.7500, 0.7500, 0.7500)
Pb (0.0000, 0.0000, 0.0000)


# SrTcPb2

An optimized crystal structure of SrTcPb2 (GGA-PBEsol, Alexandria).

Results
space-group type: Imm2
V: 106 Å³/cell
calculated formation energy: 0.267 eV per atom

Cell: 3.3838 4.3819 7.6945 Å, 106.54 102.70 90.00°
Sites, in units of the cell vectors:
Pb (0.2521, 0.7521, 0.5042)
Pb (0.0781, 0.0781, 0.1561)
Sr (0.4353, 0.4353, 0.8706)
Tc (0.7345, 0.2345, 0.4690)


# Sr2TePb

An optimized crystal structure of Sr2TePb (GGA-PBEsol, Alexandria).

Results
uncorrected formation energy: -0.828 eV per atom
space-group type: Imm2
V: 137 Å³/cell

Cell: 4.2038 5.1266 7.1840 Å, 110.90 107.01 90.00°
Sites, in units of the cell vectors:
Pb (0.2206, 0.7206, 0.4413)
Sr (0.7780, 0.2780, 0.5561)
Sr (0.0092, 0.0092, 0.0183)
Te (0.4922, 0.4922, 0.9843)


# SrTePb

An optimized crystal structure of SrTePb (GGA-PBEsol, Alexandria).

Results
uncorrected formation energy: -0.679 eV per atom
space-group type: I4mm
V: 103 Å³/cell

Cell: 4.2761 4.2761 6.3934 Å, 109.54 109.54 90.00°
Sites, in units of the cell vectors:
Pb (0.0191, 0.0191, 0.0383)
Sr (0.6879, 0.6879, 0.3758)
Te (0.2929, 0.2929, 0.5859)


# SrTePb3

An optimized crystal structure of SrTePb3 (GGA-PBEsol, Alexandria).

Results
uncorrected formation energy: 0.869 eV per atom
space-group type: Pm-3m
V: 215 Å³/cell

Cell: 5.9928 5.9928 5.9928 Å, 90.00 90.00 90.00°
Sites, in units of the cell vectors:
Te (0.5000, 0.5000, 0.5000)
Pb (0.0000, 0.5000, 0.0000)
Pb (0.5000, 0.0000, 0.0000)
Pb (0.0000, 0.0000, 0.5000)
Sr (0.0000, 0.0000, 0.0000)


# SrTiPb3

An optimized crystal structure of SrTiPb3 (GGA-PBEsol, Alexandria).

Results
space-group type: Pm-3m
V: 195 Å³/cell
calculated formation energy: 1.279 eV per atom

Cell: 5.8002 5.8002 5.8002 Å, 90.00 90.00 90.00°
Sites, in units of the cell vectors:
Pb (0.5000, 0.0000, 0.0000)
Pb (0.0000, 0.0000, 0.5000)
Pb (0.0000, 0.5000, 0.0000)
Sr (0.0000, 0.0000, 0.0000)
Ti (0.5000, 0.5000, 0.5000)


# SrTlPb

An optimized crystal structure of SrTlPb (GGA-PBEsol, Alexandria).

Results
space-group type: P3m1
V: 94 Å³/cell
calculated formation energy: -0.379 eV per atom

Cell: 3.9600 5.2301 5.2301 Å, 120.00 90.00 90.00°
Sites, in units of the cell vectors:
Sr (0.6517, 0.3333, 0.6667)
Tl (0.2927, 0.6667, 0.3333)
Pb (0.0555, 0.0000, 0.0000)


# SrTlPb2

An optimized crystal structure of SrTlPb2 (GGA-PBEsol, Alexandria).

Results
space-group type: I4/mmm
V: 119 Å³/cell
calculated formation energy: -0.337 eV per atom

Cell: 4.8225 4.8225 6.1621 Å, 113.04 113.04 90.00°
Sites, in units of the cell vectors:
Tl (0.0000, 0.0000, 0.0000)
Pb (0.7500, 0.2500, 0.5000)
Pb (0.2500, 0.7500, 0.5000)
Sr (0.5000, 0.5000, 0.0000)


# SrTlPb4

An optimized crystal structure of SrTlPb4 (GGA-PBEsol, Alexandria).

Results
space-group type: F-43m
V: 191 Å³/cell
calculated formation energy: -0.177 eV per atom

Cell: 6.4642 6.4642 6.4642 Å, 60.00 60.00 60.00°
Sites, in units of the cell vectors:
Pb (0.8735, 0.3755, 0.3755)
Pb (0.3755, 0.3755, 0.3755)
Pb (0.3755, 0.3755, 0.8735)
Pb (0.3755, 0.8735, 0.3755)
Sr (0.7500, 0.7500, 0.7500)
Tl (0.0000, 0.0000, 0.0000)


# SrTlPb2

An optimized crystal structure of SrTlPb2 (GGA-PBEsol, Alexandria).

Results
space-group type: P4/mmm
V: 118 Å³/cell
calculated formation energy: -0.355 eV per atom

Cell: 4.9104 4.9104 4.8991 Å, 90.00 90.00 90.00°
Sites, in units of the cell vectors:
Sr (0.5000, 0.5000, 0.5000)
Pb (0.5000, 0.0000, 0.0000)
Pb (0.0000, 0.5000, 0.0000)
Tl (0.0000, 0.0000, 0.5000)


# SrTlPb2

An optimized crystal structure of SrTlPb2 (GGA-PBEsol, Alexandria).

Results
space-group type: I-4m2
V: 119 Å³/cell
calculated formation energy: -0.322 eV per atom

Cell: 4.9173 4.9173 6.0387 Å, 114.03 114.03 90.00°
Sites, in units of the cell vectors:
Tl (0.2500, 0.7500, 0.5000)
Sr (0.5000, 0.5000, 0.0000)
Pb (0.0000, 0.0000, 0.0000)
Pb (0.7500, 0.2500, 0.5000)


# Sr4TlPb

An optimized crystal structure of Sr4TlPb (GGA-PBEsol, Alexandria).

Results
space-group type: F-43m
V: 235 Å³/cell
calculated formation energy: 0.242 eV per atom

Cell: 6.9243 6.9243 6.9243 Å, 60.00 60.00 60.00°
Sites, in units of the cell vectors:
Sr (0.3746, 0.3746, 0.3746)
Sr (0.3746, 0.8762, 0.3746)
Sr (0.8762, 0.3746, 0.3746)
Sr (0.3746, 0.3746, 0.8762)
Pb (0.0000, 0.0000, 0.0000)
Tl (0.7500, 0.7500, 0.7500)


# SrPbW

An optimized crystal structure of SrPbW (GGA-PBEsol, Alexandria).

Results
space-group type: P-6m2
V: 72 Å³/cell
calculated formation energy: 0.966 eV per atom

Cell: 3.0587 5.2091 5.2091 Å, 120.00 90.00 90.00°
Sites, in units of the cell vectors:
W (0.5000, 0.6667, 0.3333)
Sr (0.0000, 0.3333, 0.6667)
Pb (0.5000, 0.0000, 0.0000)


# SrPbW2

An optimized crystal structure of SrPbW2 (GGA-PBEsol, Alexandria).

Results
space-group type: Immm
V: 84 Å³/cell
calculated formation energy: 1.295 eV per atom

Cell: 3.4825 4.8082 5.8509 Å, 114.26 107.31 90.00°
Sites, in units of the cell vectors:
Pb (0.5000, 0.0000, 0.0000)
W (0.7613, 0.7613, 0.5226)
W (0.2387, 0.2387, 0.4774)
Sr (0.0000, 0.5000, 0.0000)


# SrY4Pb

An optimized crystal structure of SrY4Pb (GGA-PBEsol, Alexandria).

Results
space-group type: F-43m
V: 198 Å³/cell
calculated formation energy: 0.174 eV per atom

Cell: 6.5378 6.5378 6.5378 Å, 60.00 60.00 60.00°
Sites, in units of the cell vectors:
Sr (0.0000, 0.0000, 0.0000)
Y (0.3756, 0.3756, 0.8731)
Y (0.3756, 0.3756, 0.3756)
Y (0.3756, 0.8731, 0.3756)
Y (0.8731, 0.3756, 0.3756)
Pb (0.7500, 0.7500, 0.7500)


# SrYPb2

An optimized crystal structure of SrYPb2 (GGA-PBEsol, Alexandria).

Results
space-group type: P4/mmm
V: 118 Å³/cell
calculated formation energy: -0.547 eV per atom

Cell: 3.6194 3.6194 8.9841 Å, 90.00 90.00 90.00°
Sites, in units of the cell vectors:
Pb (0.0000, 0.0000, 0.7347)
Pb (0.0000, 0.0000, 0.2653)
Y (0.5000, 0.5000, 0.5000)
Sr (0.5000, 0.5000, 0.0000)


# SrYPb2

An optimized crystal structure of SrYPb2 (GGA-PBEsol, Alexandria).

Results
space-group type: Pmmm
V: 119 Å³/cell
calculated formation energy: -0.547 eV per atom

Cell: 3.6143 4.4217 7.4283 Å, 90.00 90.00 90.00°
Sites, in units of the cell vectors:
Sr (0.5000, 0.5000, 0.0000)
Y (0.5000, 0.5000, 0.5000)
Pb (0.0000, 0.0000, 0.2751)
Pb (0.0000, 0.0000, 0.7249)


# Sr2ZnPb

An optimized crystal structure of Sr2ZnPb (GGA-PBEsol, Alexandria).

Results
space-group type: Fm-3m
V: 123 Å³/cell
calculated formation energy: -0.424 eV per atom

Cell: 5.5867 5.5867 5.5867 Å, 60.00 60.00 60.00°
Sites, in units of the cell vectors:
Sr (0.7500, 0.7500, 0.7500)
Sr (0.2500, 0.2500, 0.2500)
Zn (0.0000, 0.0000, 0.0000)
Pb (0.5000, 0.5000, 0.5000)


# Sr2ZnPb

An optimized crystal structure of Sr2ZnPb (GGA-PBEsol, Alexandria).

Results
space-group type: P4/mmm
V: 124 Å³/cell
calculated formation energy: -0.374 eV per atom

Cell: 4.0175 5.5453 5.5453 Å, 90.00 90.00 90.00°
Sites, in units of the cell vectors:
Pb (0.5000, 0.0000, 0.0000)
Sr (0.0000, 0.5000, 0.0000)
Sr (0.0000, 0.0000, 0.5000)
Zn (0.5000, 0.5000, 0.5000)


# Sr2ZnPb

An optimized crystal structure of Sr2ZnPb (GGA-PBEsol, Alexandria).

Results
space-group type: P4/mmm
V: 122 Å³/cell
calculated formation energy: -0.371 eV per atom

Cell: 3.9054 3.9059 8.0067 Å, 90.00 90.00 90.00°
Sites, in units of the cell vectors:
Zn (0.5000, 0.5000, 0.0000)
Pb (0.5000, 0.5000, 0.5000)
Sr (0.0000, 0.0000, 0.7645)
Sr (0.0000, 0.0000, 0.2355)


# SrZn2Pb

An optimized crystal structure of SrZn2Pb (GGA-PBEsol, Alexandria).

Results
space-group type: P4/mmm
V: 96 Å³/cell
calculated formation energy: -0.075 eV per atom

Cell: 4.4409 4.6514 4.6514 Å, 90.00 90.00 90.00°
Sites, in units of the cell vectors:
Zn (0.0000, 0.0000, 0.5000)
Zn (0.0000, 0.5000, 0.0000)
Pb (0.5000, 0.5000, 0.5000)
Sr (0.5000, 0.0000, 0.0000)


# SrZn4Pb

An optimized crystal structure of SrZn4Pb (GGA-PBEsol, Alexandria).

Results
space-group type: F-43m
V: 123 Å³/cell
calculated formation energy: -0.081 eV per atom

Cell: 5.5755 5.5755 5.5755 Å, 60.00 60.00 60.00°
Sites, in units of the cell vectors:
Zn (0.3745, 0.3745, 0.3745)
Zn (0.3745, 0.8765, 0.3745)
Zn (0.3745, 0.3745, 0.8765)
Zn (0.8765, 0.3745, 0.3745)
Sr (0.0000, 0.0000, 0.0000)
Pb (0.7500, 0.7500, 0.7500)


# Sr2ZrPb

An optimized crystal structure of Sr2ZrPb (GGA-PBEsol, Alexandria).

Results
space-group type: I4/mmm
V: 119 Å³/cell
calculated formation energy: 0.136 eV per atom

Cell: 4.7132 4.7094 6.3293 Å, 111.84 111.86 90.00°
Sites, in units of the cell vectors:
Sr (0.7499, 0.7499, 0.4998)
Sr (0.2501, 0.2501, 0.5002)
Zr (0.0000, 0.5000, 0.0000)
Pb (0.5000, 0.0000, 0.0000)


# Sr2ZrPb

An optimized crystal structure of Sr2ZrPb (GGA-PBEsol, Alexandria).

Results
space-group type: F-43m
V: 120 Å³/cell
calculated formation energy: 0.208 eV per atom

Cell: 5.5323 5.5323 5.5323 Å, 60.00 60.00 60.00°
Sites, in units of the cell vectors:
Zr (0.2500, 0.2500, 0.2500)
Pb (0.5000, 0.5000, 0.5000)
Sr (0.0000, 0.0000, 0.0000)
Sr (0.7500, 0.7500, 0.7500)


# Sr2ZrPb

An optimized crystal structure of Sr2ZrPb (GGA-PBEsol, Alexandria).

Results
space-group type: P4/mmm
V: 129 Å³/cell
calculated formation energy: 0.236 eV per atom

Cell: 3.7175 5.8925 5.8925 Å, 90.00 90.00 90.00°
Sites, in units of the cell vectors:
Pb (0.5000, 0.0000, 0.0000)
Sr (0.0000, 0.5000, 0.0000)
Sr (0.0000, 0.0000, 0.5000)
Zr (0.5000, 0.5000, 0.5000)


# SrZr2Pb

An optimized crystal structure of SrZr2Pb (GGA-PBEsol, Alexandria).

Results
space-group type: Pmm2
V: 109 Å³/cell
calculated formation energy: -0.020 eV per atom

Cell: 3.4083 4.0112 7.9608 Å, 90.00 90.00 90.00°
Sites, in units of the cell vectors:
Zr (0.0000, 0.0000, 0.0551)
Zr (0.5000, 0.5000, 0.2511)
Sr (0.5000, 0.5000, 0.7371)
Pb (0.0000, 0.0000, 0.4567)


# SrZrPb

An optimized crystal structure of SrZrPb (GGA-PBEsol, Alexandria).

Results
space-group type: P3m1
V: 86 Å³/cell
calculated formation energy: 0.121 eV per atom

Cell: 3.4726 3.4726 8.1972 Å, 90.00 90.00 120.00°
Sites, in units of the cell vectors:
Sr (0.6667, 0.3333, 0.6692)
Zr (0.3333, 0.6667, 0.3141)
Pb (0.0000, 0.0000, 0.0167)


# Sr2ZrPb

An optimized crystal structure of Sr2ZrPb (GGA-PBEsol, Alexandria).

Results
space-group type: Imm2
V: 132 Å³/cell
calculated formation energy: 0.066 eV per atom

Cell: 4.2323 5.4950 6.6688 Å, 114.33 108.50 90.00°
Sites, in units of the cell vectors:
Sr (0.2392, 0.7392, 0.4784)
Sr (0.0316, 0.0316, 0.0631)
Zr (0.4525, 0.4525, 0.9049)
Pb (0.7767, 0.2767, 0.5535)


# SrZr2Pb

An optimized crystal structure of SrZr2Pb (GGA-PBEsol, Alexandria).

Results
space-group type: F-43m
V: 103 Å³/cell
calculated formation energy: 0.260 eV per atom

Cell: 5.2678 5.2678 5.2678 Å, 60.00 60.00 60.00°
Sites, in units of the cell vectors:
Zr (0.7500, 0.7500, 0.7500)
Zr (0.0000, 0.0000, 0.0000)
Sr (0.2500, 0.2500, 0.2500)
Pb (0.5000, 0.5000, 0.5000)


# TaPb

An optimized crystal structure of TaPb (GGA-PBEsol, Alexandria).

Results
energy relative to the lowest polymorph listed for this composition: 927 meV/atom
space-group type: P6_3/mmc
V: 113 Å³/cell
calculated formation energy: 1.438 eV per atom

Cell: 4.8408 4.8408 5.5541 Å, 90.00 90.00 120.00°
Sites, in units of the cell vectors:
Pb (0.6667, 0.3333, 0.2500)
Pb (0.3333, 0.6667, 0.7500)
Ta (0.6667, 0.3333, 0.7500)
Ta (0.3333, 0.6667, 0.2500)